Entry from the Alexandria database: an optimized crystal structure of NaPmTlPb (GGA-PBE).

a b c (Å): 4.378 5.227 4.978
angles (deg): 90.00 90.00 90.00
Element x y z (fractional)
Pm 0.500 0.500 0.000
Na 0.500 0.000 0.500
Tl 0.000 0.000 0.000
Pb 0.000 0.500 0.500

Results
crystal system = orthorhombic
volume = 113.9 Å³ per cell
space-group type = No. 47
uncorrected energy = -3.358 eV per atom
excess energy over the best structure of this formula in the dataset = 0.00 eV/f.u.



Entry from the Alexandria database: an optimized crystal structure of NaU6Se8 (GGA-PBE).

a b c (Å): 7.720 7.720 7.720
angles (deg): 92.75 92.75 92.75
Element x y z (fractional)
Se 0.268 0.647 0.855
Se 0.647 0.855 0.268
Se 0.732 0.353 0.145
U 0.815 0.583 0.447
U 0.417 0.553 0.185
Se 0.769 0.769 0.769
Se 0.231 0.231 0.231
U 0.583 0.447 0.815
U 0.185 0.417 0.553
Se 0.353 0.145 0.732
Na 0.000 0.000 0.000
U 0.553 0.185 0.417
Se 0.145 0.732 0.353
Se 0.855 0.268 0.647
U 0.447 0.815 0.583

Results
crystal system = trigonal
volume = 458.5 Å³ per cell
space-group type = No. 148
uncorrected energy = -7.290 eV per atom
excess energy over the best structure of this formula in the dataset = 3.42 eV/f.u.
ΔE_f (raw) = -12.43 eV/f.u.



- Which value of volume does entry 2 give?
  458.5 Å³ per cell